[1]
# MnZnBr2 | the Alexandria database | GGA-PBE | relaxed
# Energy above the lowest structure with this stoichiometry (eV/f.u.): 1.02
# E_form (uncorrected) (eV/atom): -0.093
# SG: No. 123
# Uncorrected energy (eV/atom): -3.5402
# Total moment (μB per formula unit): 4.9
data_MnZnBr2
_chemical_formula_sum 'Mn1 Zn1 Br2'
_symmetry_space_group_name_H-M 'P 1'
_symmetry_Int_Tables_number 1
_cell_length_a 3.388
_cell_length_b 3.388
_cell_length_c 9.618
_cell_angle_alpha 90.00
_cell_angle_beta 90.00
_cell_angle_gamma 90.00
loop_
_symmetry_equiv_pos_as_xyz
'x,y,z'
loop_
_atom_site_label
_atom_site_type_symbol
_atom_site_fract_x
_atom_site_fract_y
_atom_site_fract_z
Br1 Br 0.000 0.000 0.079
Br2 Br 0.000 0.000 0.421
Mn1 Mn 0.500 0.500 0.250
Zn1 Zn 0.500 0.500 0.750

---

[2]
# SmTm14Pu | the Alexandria database | GGA-PBE | relaxed
# Energy relative to the elements (meV/atom): 42
# SG: No. 123
# Uncorrected energy (eV/atom): -5.0612
# Total moment (μB per formula unit): 6.2
data_SmTm14Pu
_chemical_formula_sum 'Sm1 Tm14 Pu1'
_symmetry_space_group_name_H-M 'P 1'
_symmetry_Int_Tables_number 1
_cell_length_a 6.979
_cell_length_b 6.979
_cell_length_c 9.843
_cell_angle_alpha 90.00
_cell_angle_beta 90.00
_cell_angle_gamma 89.98
loop_
_symmetry_equiv_pos_as_xyz
'x,y,z'
loop_
_atom_site_label
_atom_site_type_symbol
_atom_site_fract_x
_atom_site_fract_y
_atom_site_fract_z
Tm1 Tm 0.125 0.375 0.000
Tm2 Tm 0.125 0.375 0.500
Tm3 Tm 0.625 0.875 0.500
Tm4 Tm 0.373 0.627 0.250
Tm5 Tm 0.373 0.123 0.250
Tm6 Tm 0.625 0.875 0.000
Tm7 Tm 0.877 0.627 0.750
Tm8 Tm 0.877 0.123 0.250
Tm9 Tm 0.625 0.375 0.000
Tm10 Tm 0.877 0.627 0.250
Tm11 Tm 0.373 0.627 0.750
Sm1 Sm 0.625 0.375 0.500
Tm12 Tm 0.877 0.123 0.750
Tm13 Tm 0.373 0.123 0.750
Tm14 Tm 0.125 0.875 0.000
Pu1 Pu 0.125 0.875 0.500

---

[3]
# POsS2I | the Alexandria database | GGA-PBE | relaxed
# Energy above the lowest structure with this stoichiometry (eV/f.u.): 0.00
# E_form (uncorrected) (eV/atom): 0.552
# SG: No. 123
# Uncorrected energy (eV/atom): -4.7369
# Total moment (μB per formula unit): 0.0
data_POsS2I
_chemical_formula_sum 'P1 Os1 S2 I1'
_symmetry_space_group_name_H-M 'P 1'
_symmetry_Int_Tables_number 1
_cell_length_a 4.481
_cell_length_b 4.481
_cell_length_c 5.300
_cell_angle_alpha 90.00
_cell_angle_beta 90.00
_cell_angle_gamma 90.00
loop_
_symmetry_equiv_pos_as_xyz
'x,y,z'
loop_
_atom_site_label
_atom_site_type_symbol
_atom_site_fract_x
_atom_site_fract_y
_atom_site_fract_z
S1 S 0.000 0.500 0.000
S2 S 0.500 0.000 0.000
Os1 Os 0.000 0.000 0.000
P1 P 0.000 0.000 0.500
I1 I 0.500 0.500 0.500

---

[4]
# TbHoCdGe | the Alexandria database | GGA-PBE | relaxed
# Energy relative to the elements (meV/atom): -468
# SG: No. 216
# Uncorrected energy (eV/atom): -4.1531
# Total moment (μB per formula unit): 0.0
data_TbHoCdGe
_chemical_formula_sum 'Tb1 Ho1 Cd1 Ge1'
_symmetry_space_group_name_H-M 'P 1'
_symmetry_Int_Tables_number 1
_cell_length_a 5.142
_cell_length_b 5.142
_cell_length_c 5.142
_cell_angle_alpha 60.00
_cell_angle_beta 60.00
_cell_angle_gamma 60.00
loop_
_symmetry_equiv_pos_as_xyz
'x,y,z'
loop_
_atom_site_label
_atom_site_type_symbol
_atom_site_fract_x
_atom_site_fract_y
_atom_site_fract_z
Ho1 Ho 0.500 0.500 0.500
Tb1 Tb 0.000 0.000 0.000
Ge1 Ge 0.250 0.250 0.250
Cd1 Cd 0.750 0.750 0.750

---

[5]
# CePuAlO6 | the Alexandria database | GGA-PBE | relaxed
# E_form (uncorrected) (eV/atom): -2.933
# SG: No. 163
# Uncorrected energy (eV/atom): -8.9061
# Total moment (μB per formula unit): 3.0
data_CePuAlO6
_chemical_formula_sum 'Ce2 Pu2 Al2 O12'
_symmetry_space_group_name_H-M 'P 1'
_symmetry_Int_Tables_number 1
_cell_length_a 5.288
_cell_length_b 5.288
_cell_length_c 9.861
_cell_angle_alpha 90.00
_cell_angle_beta 90.00
_cell_angle_gamma 120.00
loop_
_symmetry_equiv_pos_as_xyz
'x,y,z'
loop_
_atom_site_label
_atom_site_type_symbol
_atom_site_fract_x
_atom_site_fract_y
_atom_site_fract_z
O1 O 0.635 0.974 0.861
O2 O 0.661 0.026 0.361
Pu1 Pu 0.667 0.333 0.750
Al1 Al 0.333 0.667 0.750
O3 O 0.635 0.661 0.639
O4 O 0.339 0.974 0.639
O5 O 0.365 0.339 0.361
O6 O 0.661 0.635 0.139
Ce1 Ce 0.000 0.000 0.000
O7 O 0.974 0.635 0.361
O8 O 0.365 0.026 0.139
O9 O 0.974 0.339 0.139
Pu2 Pu 0.333 0.667 0.250
O10 O 0.026 0.661 0.861
O11 O 0.026 0.365 0.639
Ce2 Ce 0.000 0.000 0.500
Al2 Al 0.667 0.333 0.250
O12 O 0.339 0.365 0.861

---

[6]
# SmMgN | the Alexandria database | GGA-PBE | relaxed
# E_form (uncorrected) (eV/atom): -0.789
# SG: No. 166
# Uncorrected energy (eV/atom): -5.6684
# Total moment (μB per formula unit): 0.0
data_SmMgN
_chemical_formula_sum 'Sm2 Mg2 N2'
_symmetry_space_group_name_H-M 'P 1'
_symmetry_Int_Tables_number 1
_cell_length_a 4.213
_cell_length_b 4.213
_cell_length_c 8.502
_cell_angle_alpha 75.66
_cell_angle_beta 75.66
_cell_angle_gamma 60.00
loop_
_symmetry_equiv_pos_as_xyz
'x,y,z'
loop_
_atom_site_label
_atom_site_type_symbol
_atom_site_fract_x
_atom_site_fract_y
_atom_site_fract_z
N1 N 0.287 0.287 0.139
Sm1 Sm 0.383 0.383 0.850
Sm2 Sm 0.617 0.617 0.150
Mg1 Mg 0.198 0.198 0.406
N2 N 0.713 0.713 0.861
Mg2 Mg 0.802 0.802 0.594

---

[7]
# Na4Hf3AgSe8 | the Alexandria database | GGA-PBE | relaxed
# E_form (uncorrected) (eV/atom): -1.140
# SG: No. 166
# Uncorrected energy (eV/atom): -5.2566
# Total moment (μB per formula unit): 0.0
data_Na4Hf3AgSe8
_chemical_formula_sum 'Na4 Hf3 Ag1 Se8'
_symmetry_space_group_name_H-M 'P 1'
_symmetry_Int_Tables_number 1
_cell_length_a 7.877
_cell_length_b 8.337
_cell_length_c 7.879
_cell_angle_alpha 118.21
_cell_angle_beta 119.99
_cell_angle_gamma 90.00
loop_
_symmetry_equiv_pos_as_xyz
'x,y,z'
loop_
_atom_site_label
_atom_site_type_symbol
_atom_site_fract_x
_atom_site_fract_y
_atom_site_fract_z
Se1 Se 0.260 0.279 0.519
Na1 Na 0.500 0.000 0.000
Se2 Se 0.247 0.720 0.973
Se3 Se 0.753 0.280 0.027
Ag1 Ag 0.000 0.500 0.000
Se4 Se 0.248 0.720 0.495
Se5 Se 0.752 0.280 0.505
Hf1 Hf 0.500 0.500 0.500
Hf2 Hf 0.500 0.500 0.000
Se6 Se 0.740 0.721 0.481
Na2 Na 0.500 0.000 0.500
Se7 Se 0.725 0.720 0.973
Hf3 Hf 0.000 0.500 0.500
Se8 Se 0.275 0.280 0.027
Na3 Na 0.000 0.000 0.500
Na4 Na 0.000 0.000 0.000

---

[8]
# KHfTe3 | the Alexandria database | GGA-PBE | relaxed
# Energy above the lowest structure with this stoichiometry (eV/f.u.): 9.96
# E_form (uncorrected) (eV/atom): 1.223
# SG: No. 221
# Uncorrected energy (eV/atom): -2.8723
# Total moment (μB per formula unit): 0.0
data_KHfTe3
_chemical_formula_sum 'K1 Hf1 Te3'
_symmetry_space_group_name_H-M 'P 1'
_symmetry_Int_Tables_number 1
_cell_length_a 5.705
_cell_length_b 5.705
_cell_length_c 5.705
_cell_angle_alpha 90.00
_cell_angle_beta 90.00
_cell_angle_gamma 90.00
loop_
_symmetry_equiv_pos_as_xyz
'x,y,z'
loop_
_atom_site_label
_atom_site_type_symbol
_atom_site_fract_x
_atom_site_fract_y
_atom_site_fract_z
Hf1 Hf 0.500 0.500 0.500
Te1 Te 0.000 0.500 0.000
Te2 Te 0.000 0.000 0.500
Te3 Te 0.500 0.000 0.000
K1 K 0.000 0.000 0.000